Here is a relaxed structure of Li8Zn6Ir from Alexandria via LeMat-Bulk. Energies are from PBE-GGA.

Cell: 6.984 6.984 6.984 Å, 57.79 57.79 57.79°
Atoms (fractional coordinates):
1 Li 0.131 0.669 0.820
2 Li 0.180 0.869 0.331
3 Li 0.331 0.180 0.869
4 Li 0.583 0.583 0.583
5 Li 0.417 0.417 0.417
6 Li 0.669 0.820 0.131
7 Li 0.820 0.131 0.669
8 Li 0.869 0.331 0.180
9 Zn 0.935 0.458 0.731
10 Zn 0.269 0.065 0.542
11 Zn 0.542 0.269 0.065
12 Zn 0.458 0.731 0.935
13 Zn 0.731 0.935 0.458
14 Zn 0.065 0.542 0.269
15 Ir 0.000 0.000 0.000

Computed properties:
Crystal system   trigonal
Total magnetic moment   0.00 Bohr magnetons per cell
ΔE_f   -3.17 kcal/mol of atoms
Relative energy among the computed polymorphs   31 meV per atom
Space group   R-3, No. 148
Calculated total energy   -2.26 eV/atom

Here is a relaxed structure of CaCo4Sb12 from Alexandria via LeMat-Bulk. Energies are from PBE-GGA.

Cell: 7.968 7.968 7.968 Å, 109.47 109.47 109.47°
Atoms (fractional coordinates):
1 Ca 0.000 0.000 0.000
2 Co 0.000 0.500 0.000
3 Co 0.500 0.000 0.000
4 Co 0.500 0.500 0.500
5 Co 0.000 0.000 0.500
6 Sb 0.839 0.334 0.173
7 Sb 0.334 0.495 0.161
8 Sb 0.827 0.161 0.666
9 Sb 0.334 0.173 0.839
10 Sb 0.173 0.839 0.334
11 Sb 0.666 0.505 0.839
12 Sb 0.495 0.161 0.334
13 Sb 0.505 0.839 0.666
14 Sb 0.666 0.827 0.161
15 Sb 0.839 0.666 0.505
16 Sb 0.161 0.334 0.495
17 Sb 0.161 0.666 0.827

Computed properties:
Crystal system   cubic
Total magnetic moment   0.00 Bohr magnetons per cell
Space group   Im-3, No. 204
Calculated total energy   -4.94 eV/atom

Here is a relaxed structure of NpSi2Ni4 from Alexandria via LeMat-Bulk. Energies are from PBE-GGA.

Cell: 3.701 7.143 7.143 Å, 90.00 90.00 90.00°
Atoms (fractional coordinates):
1 Np 0.500 0.000 0.000
2 Np 0.000 0.500 0.500
3 Si 0.000 0.219 0.781
4 Si 0.000 0.781 0.219
5 Si 0.500 0.719 0.719
6 Si 0.500 0.281 0.281
7 Ni 0.000 0.090 0.343
8 Ni 0.000 0.910 0.657
9 Ni 0.500 0.157 0.590
10 Ni 0.500 0.843 0.410
11 Ni 0.500 0.410 0.843
12 Ni 0.500 0.590 0.157
13 Ni 0.000 0.343 0.090
14 Ni 0.000 0.657 0.910

Computed properties:
Crystal system   tetragonal
Total magnetic moment   7.23 Bohr magnetons per cell
Space group   P4_2/mnm, No. 136
Calculated total energy   -7.15 eV/atom

Here is a relaxed structure of BeCrAs2Ir from Alexandria via LeMat-Bulk. Energies are from PBE-GGA.

Cell: 4.709 4.743 4.709 Å, 90.00 90.00 90.00°
Atoms (fractional coordinates):
1 Cr 0.000 0.500 0.000
2 As 0.000 0.000 0.500
3 As 0.500 0.000 0.000
4 Ir 0.000 0.000 0.000
5 Be 0.500 0.500 0.500

Computed properties:
Crystal system   tetragonal
Total magnetic moment   0.02 Bohr magnetons per cell
ΔE_f   31.49 kcal/mol of atoms
Space group   P4/mmm, No. 123
Calculated total energy   -4.94 eV/atom

Here is a relaxed structure of YMn2Zn2 from Alexandria via LeMat-Bulk. Energies are from PBE-GGA.

Cell: 3.641 3.641 6.533 Å, 73.82 73.82 90.00°
Atoms (fractional coordinates):
1 Y 0.000 0.000 0.000
2 Zn 0.392 0.392 0.216
3 Zn 0.608 0.608 0.784
4 Mn 0.750 0.250 0.500
5 Mn 0.250 0.750 0.500

Computed properties:
Crystal system   tetragonal
Total magnetic moment   0.00 Bohr magnetons per cell
ΔE_f   3.90 kcal/mol of atoms
Relative energy among the computed polymorphs   72 meV per atom
Space group   I4/mmm, No. 139
Calculated total energy   -5.30 eV/atom

Here is a relaxed structure of Mn2CrCl from Alexandria via LeMat-Bulk. Energies are from PBE-GGA.

Cell: 2.949 3.080 6.860 Å, 90.03 90.00 90.00°
Atoms (fractional coordinates):
1 Cr 0.500 0.500 0.802
2 Mn 0.000 0.000 0.993
3 Mn 0.500 0.500 0.207
4 Cl 0.000 0.500 0.498

Computed properties:
Crystal system   orthorhombic
Total magnetic moment   3.15 Bohr magnetons per cell
Relative energy among the computed polymorphs   60 meV per atom
Space group   Pmm2, No. 25
Calculated total energy   -7.30 eV/atom

Here is a relaxed structure of Cd2TeOs from Alexandria via LeMat-Bulk. Energies are from PBE-GGA.

Cell: 3.194 4.456 7.012 Å, 71.50 90.00 90.00°
Atoms (fractional coordinates):
1 Te 0.500 0.572 0.732
2 Os 0.000 0.726 0.422
3 Cd 0.000 0.932 0.012
4 Cd 0.500 0.270 0.334

Computed properties:
Crystal system   orthorhombic
Total magnetic moment   0.00 Bohr magnetons per cell
Space group   Amm2, No. 38
Calculated total energy   -3.71 eV/atom

Here is a relaxed structure of CsZn2RhCl8 from Alexandria via LeMat-Bulk. Energies are from PBE-GGA.

Cell: 7.096 7.096 10.169 Å, 69.58 69.58 60.00°
Atoms (fractional coordinates):
1 Cs 0.000 0.000 0.000
2 Zn 0.767 0.767 0.698
3 Zn 0.233 0.233 0.302
4 Rh 0.500 0.500 0.500
5 Cl 0.687 0.687 0.939
6 Cl 0.313 0.313 0.061
7 Cl 0.406 0.405 0.337
8 Cl 0.595 0.594 0.663
9 Cl 0.148 0.595 0.663
10 Cl 0.405 0.852 0.337
11 Cl 0.852 0.406 0.337
12 Cl 0.594 0.148 0.663

Computed properties:
Crystal system   trigonal
Total magnetic moment   0.00 Bohr magnetons per cell
Space group   R-3m, No. 166
Calculated total energy   -3.11 eV/atom

Here is a relaxed structure of BeInTe2 from Alexandria via LeMat-Bulk. Energies are from PBE-GGA.

Cell: 3.655 4.394 7.426 Å, 89.81 90.00 90.00°
Atoms (fractional coordinates):
1 Be 0.500 0.250 0.250
2 Te 0.000 0.248 0.023
3 Te 0.000 0.252 0.477
4 In 0.500 0.750 0.750

Computed properties:
Crystal system   monoclinic
Total magnetic moment   0.00 Bohr magnetons per cell
Relative energy among the computed polymorphs   235 meV per atom
Space group   P2/m, No. 10
Calculated total energy   -3.13 eV/atom

Here is a relaxed structure of LaHoGa2 from Alexandria via LeMat-Bulk. Energies are from PBE-GGA.

Cell: 4.432 4.166 6.054 Å, 90.00 111.47 90.00°
Atoms (fractional coordinates):
1 La 0.440 0.500 0.418
2 Ho 0.717 0.000 0.973
3 Ga 0.159 0.500 0.857
4 Ga 0.016 0.000 0.570

Computed properties:
Crystal system   orthorhombic
Total magnetic moment   0.00 Bohr magnetons per cell
ΔE_f   -13.69 kcal/mol of atoms
Space group   Amm2, No. 38
Calculated total energy   -4.48 eV/atom

Here is a relaxed structure of Rb2Na2Au from Alexandria via LeMat-Bulk. Energies are from PBE-GGA.

Cell: 4.512 4.512 11.986 Å, 79.15 79.15 90.00°
Atoms (fractional coordinates):
1 Na 0.750 0.250 0.500
2 Na 0.250 0.750 0.500
3 Au 0.000 0.000 0.000
4 Rb 0.416 0.416 0.168
5 Rb 0.584 0.584 0.832

Computed properties:
Crystal system   tetragonal
Total magnetic moment   0.00 Bohr magnetons per cell
ΔE_f   -1.17 kcal/mol of atoms
Relative energy among the computed polymorphs   44 meV per atom
Space group   I4/mmm, No. 139
Calculated total energy   -1.62 eV/atom

Here is a relaxed structure of MgZrCr2 from Alexandria via LeMat-Bulk. Energies are from PBE-GGA.

Cell: 4.536 2.855 5.547 Å, 82.07 90.00 90.00°
Atoms (fractional coordinates):
1 Cr 0.000 0.076 0.930
2 Cr 0.000 0.424 0.570
3 Mg 0.500 0.250 0.250
4 Zr 0.500 0.750 0.750

Computed properties:
Crystal system   monoclinic
Total magnetic moment   0.00 Bohr magnetons per cell
ΔE_f   11.32 kcal/mol of atoms
Space group   P2/m, No. 10
Calculated total energy   -6.86 eV/atom

Which value of total magnetic moment does entry 8 give? 0.00 Bohr magnetons per cell